(1)
DFT (PBE with a Hubbard U) results for FeAsN2O after structural relaxation.

Cell: 3.8434 3.8434 3.7307 Å, 90.00 90.00 90.00°
Space group P4/mmm (No. 123)
Asymmetric unit:
1 Fe 0.0000 0.0000 0.0000
2 As 0.5000 0.5000 0.5000
3 N 0.0000 0.5000 0.0000
4 O 0.0000 0.0000 0.5000

Values from the calculation:
Energy   -27.1 eV per cell
N(E_F)   2.26 states/eV per cell



(2)
DFT (PBE with a Hubbard U) results for FeAsNO2 after structural relaxation.

Cell: 3.7179 3.7179 4.0243 Å, 90.00 90.00 90.00°
Space group P4/mmm (No. 123)
Asymmetric unit:
1 Fe 0.0000 0.0000 0.0000
2 As 0.5000 0.5000 0.5000
3 N 0.0000 0.0000 0.5000
4 O 0.0000 0.5000 0.0000

Values from the calculation:
Energy   -27.4 eV per cell
N(E_F)   1.44 states/eV per cell



(3)
DFT (PBE with a Hubbard U) results for FeAsNO2 after structural relaxation.

Cell: 3.7404 3.7404 3.7586 Å, 90.00 90.00 90.00°
Space group P4/mmm (No. 123)
Asymmetric unit:
1 Fe 0.0000 0.0000 0.0000
2 As 0.5000 0.5000 0.5000
3 N 0.5000 0.5000 0.0000
4 O 0.0000 0.5000 0.5000

Values from the calculation:
Energy   -28.7 eV per cell
N(E_F)   1.14 states/eV per cell



(4)
DFT (PBE with a Hubbard U) results for FeAsN2O after structural relaxation.

Cell: 3.7626 3.7626 3.6834 Å, 90.00 90.00 90.00°
Space group P4/mmm (No. 123)
Asymmetric unit:
1 Fe 0.0000 0.0000 0.0000
2 As 0.5000 0.5000 0.5000
3 N 0.0000 0.5000 0.5000
4 O 0.5000 0.5000 0.0000

Values from the calculation:
Energy   -27.9 eV per cell
N(E_F)   1.14 states/eV per cell